A plane-wave DFT calculation with PBE was carried out for a relaxed Tb2ZnPdO6 crystal.

Lattice parameters (Å, degrees): 5.371 5.766 9.401 90.00 124.79 90.00
Space group P2_1/c (No. 14)
Symmetry-distinct sites (fractional):
Tb 0.228 0.077 0.251 [4 per cell]
Zn 0.500 0.000 0.000 [2 per cell]
Pd 0.000 0.000 0.500 [2 per cell]
O 0.120 0.199 0.937 [4 per cell]
O 0.250 0.690 0.941 [4 per cell]
O 0.370 0.047 0.747 [4 per cell]

## Properties
raw total energy	-0.4950	Ry/atom
ΔE_f (raw)	-2187	meV/atom